Density functional theory data (PBE) for a relaxed Ho6CdC3 crystal.

Unit cell a=11.0287 b=3.5723 c=11.2389 alpha=90.00 beta=101.61 gamma=90.00
Space group P2_1/m (No. 11)
Unique sites:
Ho 0.0303 0.2500 0.1329 (multiplicity 2)
Ho 0.1116 0.7500 0.4503 (multiplicity 2)
Ho 0.1681 0.2500 0.7415 (multiplicity 2)
Ho 0.2675 0.7500 0.0164 (multiplicity 2)
Ho 0.3109 0.2500 0.3056 (multiplicity 2)
Ho 0.4268 0.2500 0.5970 (multiplicity 2)
Cd 0.4725 0.7500 0.8554 (multiplicity 2)
C 0.0288 0.7500 0.6457 (multiplicity 2)
C 0.1240 0.2500 0.9425 (multiplicity 2)
C 0.3570 0.7500 0.4511 (multiplicity 2)

**Spin magnetization**: 0.00 μB per formula unit
**Total DFT energy (no corrections)**: -5.838 eV per atom
**E_form**: -0.233 eV/atom